Entry 1:
Density functional theory data (GGA-PBE) for a relaxed structure of RuAuCl2.

Lattice parameters (Å, degrees): 3.3244 3.3244 9.6710 84.19 84.19 62.40
Element x y z (fractional)
Au 0.2500 0.2500 0.2500
Cl 0.4374 0.4374 0.6063
Cl 0.0626 0.0626 0.8937
Ru 0.7500 0.7500 0.7500

Properties
Energy relative to the elements, uncorrected (meV per atom): 197
Electronic total energy (eV per cell): -15.46
Symmetry: C2/m
Offset from the most stable computed form (kJ/mol of atoms): 14.6

=====

Entry 2:
Density functional theory data (GGA-PBE) for a relaxed structure of PuPRu2C.

Lattice parameters (Å, degrees): 3.8271 5.8502 7.0400 90.00 90.00 109.09
Each line ends with the local moment (μB).
Element x y z (fractional)
Ru 0.8322 0.6644 0.4458  -0.01
Pu 0.4554 0.9109 0.7500  4.98
Ru 0.1678 0.3356 0.5542  -0.01
Ru 0.1678 0.3356 0.9458  -0.01
P 0.2709 0.5418 0.2500  -0.02
Pu 0.5446 0.0891 0.2500  4.98
P 0.7291 0.4582 0.7500  -0.02
C 0.0000 0.0000 0.0000  -0.02
Ru 0.8322 0.6644 0.0542  -0.01
C 0.0000 0.0000 0.5000  -0.02

Properties
Formation enthalpy at 0 K (eV per atom): -0.496
Electronic total energy (eV per cell): -100.00
Symmetry: Cmcm

=====

Entry 3:
Density functional theory data (GGA-PBE) for a relaxed structure of K3HfF.

Lattice parameters (Å, degrees): 5.5281 5.5281 5.5281 90.00 90.00 90.00
Element x y z (fractional)
K 0.0000 0.5000 0.0000
K 0.0000 0.0000 0.5000
Hf 0.5000 0.5000 0.5000
F 0.0000 0.0000 0.0000
K 0.5000 0.0000 0.0000

Properties
Energy relative to the elements, uncorrected (meV per atom): -71
Electronic total energy (eV per cell): -15.47
Symmetry: Pm-3m

=====

Entry 4:
Density functional theory data (GGA-PBE) for a relaxed structure of PuBi3Au.

Lattice parameters (Å, degrees): 6.5499 6.5427 13.0849 90.00 90.00 90.00
Each line ends with the local moment (μB).
Element x y z (fractional)
Pu 0.2500 0.4869 0.3086  5.36
Bi 0.0000 0.2500 0.5005  -0.06
Bi 0.5000 0.2500 0.5005  -0.06
Bi 0.0000 0.7500 0.4995  -0.06
Pu 0.7500 0.0131 0.3086  5.36
Bi 0.2500 0.4833 0.7378  -0.04
Bi 0.7500 0.0167 0.7378  -0.04
Bi 0.2500 0.6395 0.0606  0.04
Pu 0.7500 0.5131 0.6914  5.36
Au 0.5000 0.7500 0.8770  0.02
Au 0.0000 0.7500 0.8770  0.02
Au 0.5000 0.2500 0.1230  0.02
Bi 0.7500 0.5167 0.2622  -0.04
Pu 0.2500 0.9869 0.6914  5.36
Bi 0.7500 0.8605 0.0606  0.04
Bi 0.5000 0.7500 0.4995  -0.06
Bi 0.2500 0.9833 0.2622  -0.04
Bi 0.7500 0.3605 0.9394  0.04
Au 0.0000 0.2500 0.1230  0.02
Bi 0.2500 0.1395 0.9394  0.04

Properties
Formation enthalpy at 0 K (eV per atom): -0.190
Electronic total energy (eV per cell): -120.80
Symmetry: Pbcm

=====

Entry 5:
Density functional theory data (GGA-PBE) for a relaxed structure of NaIn4Hg12.

Lattice parameters (Å, degrees): 8.8369 8.8420 8.8398 109.49 109.46 109.47
Element x y z (fractional)
In 0.0000 0.5000 0.0000
Hg 0.5014 0.8528 0.6485
Hg 0.2043 0.8528 0.3514
Na 0.0000 0.0000 0.0000
Hg 0.7957 0.1472 0.6486
Hg 0.3515 0.2042 0.8529
In 0.0000 0.0000 0.5000
Hg 0.4986 0.1472 0.3515
Hg 0.6485 0.5014 0.8528
Hg 0.8529 0.6486 0.5014
In 0.5000 0.5000 0.5000
In 0.5000 0.0000 0.0000
Hg 0.1471 0.3514 0.4986
Hg 0.1472 0.6485 0.7957
Hg 0.8528 0.3515 0.2043
Hg 0.6485 0.7958 0.1471
Hg 0.3515 0.4986 0.1472

Properties
Formation enthalpy at 0 K (eV per atom): 0.035
Electronic total energy (eV per cell): -15.30
Symmetry: Im-3

=====

Entry 6:
Density functional theory data (GGA-PBE) for a relaxed structure of CeGdTlRu.

Lattice parameters (Å, degrees): 5.1682 5.1682 5.1682 60.00 60.00 60.00
Each line ends with the local moment (μB).
Element x y z (fractional)
Ce 0.5000 0.5000 0.5000  0.46
Ru 0.7500 0.7500 0.7500  -0.18
Gd 0.0000 0.0000 0.0000  7.04
Tl 0.2500 0.2500 0.2500  0.00

Properties
Formation enthalpy at 0 K (eV per atom): -0.148
Electronic total energy (eV per cell): -32.25
Symmetry: F-43m

=====

Entry 7:
Density functional theory data (GGA-PBE) for a relaxed structure of Nd2Dy2ErTm.

Lattice parameters (Å, degrees): 5.6346 6.9975 9.7721 90.00 90.00 90.00
Element x y z (fractional)
Dy 0.5000 0.2575 0.3326
Er 0.5000 0.7577 0.3414
Dy 0.5000 0.7575 0.6674
Tm 0.0000 0.0077 0.5001
Er 0.5000 0.2577 0.6586
Nd 0.5000 0.5076 0.0002
Tm 0.0000 0.5077 0.4999
Nd 0.0000 0.2575 0.1781
Nd 0.0000 0.7575 0.8219
Dy 0.0000 0.7577 0.1637
Nd 0.5000 0.0076 0.9998
Dy 0.0000 0.2577 0.8363

Properties
Formation enthalpy at 0 K (eV per atom): 0.067
Electronic total energy (eV per cell): -54.75
Symmetry: Pmma

=====

Entry 8:
Density functional theory data (GGA-PBE) for a relaxed structure of BaZn2InPd.

Lattice parameters (Å, degrees): 5.0088 5.0088 5.1808 90.00 90.00 90.00
Element x y z (fractional)
Zn 0.5000 0.0000 0.0000
Zn 0.0000 0.5000 0.0000
Ba 0.5000 0.5000 0.5000
Pd 0.0000 0.0000 0.0000
In 0.0000 0.0000 0.5000

Properties
Formation enthalpy at 0 K (eV per atom): -0.328
Electronic total energy (eV per cell): -14.04
Symmetry: P4/mmm

=====

Entry 9:
Density functional theory data (GGA-PBE) for a relaxed structure of HPdAu2.

Lattice parameters (Å, degrees): 2.8853 3.4942 5.9415 107.02 104.52 90.03
Element x y z (fractional)
Au 0.8319 0.8400 0.6623
H 0.4995 0.0092 0.0002
Au 0.1684 0.1778 0.3376
Pd 0.5002 0.5091 0.9999

Properties
Electronic total energy (eV per cell): -14.92
Symmetry: C2/m
Offset from the most stable computed form (kJ/mol of atoms): 6.0

=====

Entry 10:
Density functional theory data (GGA-PBE) for a relaxed structure of Tl4SbRh.

Lattice parameters (Å, degrees): 6.1947 6.1947 6.1947 60.00 60.00 60.00
Each line ends with the local moment (μB).
Element x y z (fractional)
Sb 0.0000 0.0000 0.0000  0.01
Tl 0.3755 0.8736 0.3755  0.00
Rh 0.7500 0.7500 0.7500  0.09
Tl 0.3755 0.3755 0.8736  0.00
Tl 0.8736 0.3755 0.3755  0.00
Tl 0.3755 0.3755 0.3755  0.00

Properties
Energy relative to the elements, uncorrected (meV per atom): 587
Electronic total energy (eV per cell): -17.42
Symmetry: F-43m

=====

Entry 11:
Density functional theory data (GGA-PBE) for a relaxed structure of Tl2Ni3.

Lattice parameters (Å, degrees): 4.0082 4.0082 6.8537 90.00 90.00 120.00
Element x y z (fractional)
Tl 0.6667 0.3333 0.3187
Ni 0.6667 0.3333 0.9231
Ni 0.0000 0.0000 0.0000
Ni 0.3333 0.6667 0.0769
Tl 0.3333 0.6667 0.6813

Properties
Formation enthalpy at 0 K (eV per atom): 0.248
Electronic total energy (eV per cell): -20.84
Symmetry: P-3m1

=====

Entry 12:
Density functional theory data (GGA-PBE) for a relaxed structure of RbMg4Pb6.

Lattice parameters (Å, degrees): 5.1199 8.7695 8.7695 120.00 90.00 90.00
Element x y z (fractional)
Pb 0.0000 0.5334 0.0668
Mg 0.0000 0.3333 0.6667
Rb 0.0000 0.0000 0.0000
Pb 0.5000 0.5964 0.7982
Mg 0.5000 0.7880 0.2120
Mg 0.5000 0.7880 0.5760
Mg 0.5000 0.4240 0.2120
Pb 0.5000 0.2018 0.4036
Pb 0.0000 0.9332 0.4666
Pb 0.5000 0.2018 0.7982
Pb 0.0000 0.5334 0.4666

Properties
Formation enthalpy at 0 K (eV per atom): -0.037
Electronic total energy (eV per cell): -30.01
Symmetry: P-6m2

=====

Entry 13:
Density functional theory data (GGA-PBE) for a relaxed structure of SrAg2Pb.

Lattice parameters (Å, degrees): 5.1481 5.1481 10.4002 75.67 75.67 90.00
Element x y z (fractional)
Ag 0.7629 0.1250 0.2500
Pb 0.0000 0.0000 0.0000
Ag 0.3750 0.2371 0.7500
Sr 0.5000 0.5000 0.0000
Ag 0.8750 0.0129 0.7500
Pb 0.7500 0.2500 0.5000
Ag 0.9871 0.6250 0.2500
Sr 0.2500 0.7500 0.5000

Properties
Formation enthalpy at 0 K (eV per atom): -0.030
Electronic total energy (eV per cell): -22.43
Symmetry: I-42d

=====

Entry 14:
Density functional theory data (GGA-PBE) for a relaxed structure of CuAsRu2.

Lattice parameters (Å, degrees): 3.9663 2.8421 5.2450 74.30 90.00 90.00
Element x y z (fractional)
Ru 0.5000 0.4427 0.2387
As 0.0000 0.3011 0.5256
Ru 0.0000 0.0584 0.0070
Cu 0.5000 0.6979 0.7288

Properties
Formation enthalpy at 0 K (eV per atom): 0.185
Electronic total energy (eV per cell): -26.56
Symmetry: Pm

=====

Entry 15:
Density functional theory data (GGA-PBE) for a relaxed structure of Zr2SbAs.

Lattice parameters (Å, degrees): 5.1829 5.1829 5.1829 133.60 117.57 81.23
Element x y z (fractional)
Sb 0.2500 0.7500 0.5000
Zr 0.9713 0.9713 0.0000
Zr 0.5287 0.5287 0.0000
As 0.7500 0.2500 0.5000

Properties
Energy relative to the elements, uncorrected (meV per atom): -647
Electronic total energy (eV per cell): -28.45
Symmetry: Immm

=====

Entry 16:
Density functional theory data (GGA-PBE) for a relaxed structure of ZrBeCr.

Lattice parameters (Å, degrees): 3.9740 3.9740 3.3722 90.00 90.00 120.00
Each line ends with the local moment (μB).
Element x y z (fractional)
Cr 0.6667 0.3333 0.1669  2.24
Zr 0.3333 0.6667 0.6667  -0.25
Be 0.0000 0.0000 0.1664  -0.06

Properties
Formation enthalpy at 0 K (eV per atom): 0.191
Electronic total energy (eV per cell): -21.32
Symmetry: P-6m2
Offset from the most stable computed form (kJ/mol of atoms): 23.6

=====

Entry 17:
Density functional theory data (GGA-PBE) for a relaxed structure of La5Pr12Nd2.

Lattice parameters (Å, degrees): 11.9461 8.9829 9.7082 70.69 90.00 131.68
Element x y z (fractional)
Nd 0.2652 0.0000 0.0000
Pr 0.8815 0.7630 0.9448
La 0.1941 0.3882 0.6699
Pr 0.6183 0.7896 0.4190
La 0.0000 0.0000 0.5000
Pr 0.9483 0.3904 0.1933
La 0.6861 0.3722 0.7715
La 0.8059 0.6118 0.3301
Nd 0.7348 0.0000 0.0000
Pr 0.8287 0.2104 0.5810
Pr 0.3817 0.2104 0.5810
Pr 0.1713 0.7896 0.4190
Pr 0.4420 0.3904 0.1933
Pr 0.5580 0.6096 0.8067
Pr 0.5764 0.1529 0.2148
La 0.3139 0.6278 0.2285
Pr 0.4236 0.8471 0.7852
Pr 0.1185 0.2370 0.0552
Pr 0.0517 0.6096 0.8067

Properties
Formation enthalpy at 0 K (eV per atom): 0.097
Electronic total energy (eV per cell): -89.68
Symmetry: C2/m
Offset from the most stable computed form (kJ/mol of atoms): 0.0

=====

Entry 18:
Density functional theory data (GGA-PBE) for a relaxed structure of Nb4Mo2Os.

Lattice parameters (Å, degrees): 4.8183 4.8183 7.2920 70.71 70.71 90.00
Element x y z (fractional)
Mo 0.3824 0.3824 0.2351
Os 0.0000 0.0000 0.0000
Nb 0.0000 0.5000 0.0000
Mo 0.6176 0.6176 0.7649
Nb 0.1965 0.1965 0.6071
Nb 0.5000 0.0000 0.0000
Nb 0.8035 0.8035 0.3929

Properties
Formation enthalpy at 0 K (eV per atom): 1.186
Electronic total energy (eV per cell): -64.87
Symmetry: I4/mmm
Offset from the most stable computed form (kJ/mol of atoms): 106.2

=====

Entry 19:
Density functional theory data (GGA-PBE) for a relaxed structure of SrTePb2W.

Lattice parameters (Å, degrees): 5.8169 5.7333 5.8169 90.00 90.00 90.00
Each line ends with the local moment (μB).
Element x y z (fractional)
Pb 0.5000 0.0000 0.0000  0.09
Te 0.0000 0.5000 0.0000  -0.02
Pb 0.0000 0.0000 0.5000  0.06
W 0.5000 0.5000 0.5000  -0.47
Sr 0.0000 0.0000 0.0000  0.05

Properties
Energy relative to the elements, uncorrected (meV per atom): 1998
Electronic total energy (eV per cell): -15.20
Symmetry: P4/mmm

=====

Entry 20:
Density functional theory data (GGA-PBE) for a relaxed structure of KTlAg2.

Lattice parameters (Å, degrees): 3.6591 3.6591 8.0225 90.00 90.00 90.00
Element x y z (fractional)
Tl 0.5000 0.5000 0.8075
Ag 0.0000 0.0000 0.0315
K 0.0000 0.0000 0.4807
Ag 0.5000 0.5000 0.1803

Properties
Formation enthalpy at 0 K (eV per atom): 0.047
Electronic total energy (eV per cell): -8.98
Symmetry: P4mm
Offset from the most stable computed form (kJ/mol of atoms): 3.7

=====

Entry 21:
Density functional theory data (GGA-PBE) for a relaxed structure of Pa3Co4.

Lattice parameters (Å, degrees): 3.5699 5.3654 13.1985 90.00 90.00 109.43
Element x y z (fractional)
Pa 0.9237 0.8474 0.2503
Co 0.6296 0.2592 0.6097
Pa 0.6526 0.3051 0.4066
Pa 0.6526 0.3052 0.0941
Co 0.3727 0.7454 0.1097
Co 0.1908 0.3817 0.2503
Pa 0.0786 0.1572 0.7503
Co 0.0012 0.0023 0.0003
Pa 0.3497 0.6995 0.9066
Co 0.0011 0.0023 0.5004
Co 0.6296 0.2592 0.8910
Co 0.3727 0.7454 0.3910
Co 0.8115 0.6229 0.7503
Pa 0.3497 0.6995 0.5941

Properties
Formation enthalpy at 0 K (eV per atom): -0.368
Electronic total energy (eV per cell): -118.97
Symmetry: Cmcm
Offset from the most stable computed form (kJ/mol of atoms): 0.0

=====

Entry 22:
Density functional theory data (GGA-PBE) for a relaxed structure of CaYTl2.

Lattice parameters (Å, degrees): 6.4089 6.4089 5.4887 71.72 71.72 33.19
Element x y z (fractional)
Tl 0.7369 0.7369 0.6857
Ca 0.2598 0.2598 0.1859
Y 0.4894 0.4894 0.5693
Tl 0.0139 0.0139 0.0591

Properties
Formation enthalpy at 0 K (eV per atom): -0.304
Electronic total energy (eV per cell): -14.42
Symmetry: Cm

=====

Entry 23:
Density functional theory data (GGA-PBE) for a relaxed structure of VGaHg2Mo.

Lattice parameters (Å, degrees): 4.9587 4.8646 4.9587 90.00 90.00 90.00
Each line ends with the local moment (μB).
Element x y z (fractional)
V 0.0000 0.5000 0.0000  -2.42
Hg 0.0000 0.0000 0.5000  0.01
Ga 0.0000 0.0000 0.0000  -0.01
Hg 0.5000 0.0000 0.0000  0.01
Mo 0.5000 0.5000 0.5000  3.36

Properties
Formation enthalpy at 0 K (eV per atom): 1.337
Electronic total energy (eV per cell): -16.89
Symmetry: P4/mmm

=====

Entry 24:
Density functional theory data (GGA-PBE) for a relaxed structure of PmAg2Pd9.

Lattice parameters (Å, degrees): 5.3019 5.3019 9.3122 73.46 73.46 60.00
Element x y z (fractional)
Pd 0.5000 0.5000 0.5000
Pd 0.6664 0.6664 0.0009
Pd 0.4124 0.9175 0.2576
Pd 0.5876 0.0825 0.7424
Pd 0.5876 0.5876 0.7424
Pd 0.0825 0.5876 0.7424
Pm 0.0000 0.0000 0.0000
Pd 0.3336 0.3336 0.9991
Ag 0.1477 0.1477 0.5568
Pd 0.4124 0.4124 0.2576
Pd 0.9175 0.4124 0.2576
Ag 0.8523 0.8523 0.4432

Properties
Formation enthalpy at 0 K (eV per atom): -0.210
Electronic total energy (eV per cell): -59.71
Symmetry: R-3m